# Er2Tm3Cu4 (PBE-GGA, optimized geometry)
# ΔH_f (0 K) = -0.208 eV per atom
data_Er2Tm3Cu4
_chemical_formula_sum 'Er4 Tm6 Cu8'
_space_group_name_H-M_alt 'P 1 21/c 1'
_space_group_IT_number 14
_space_group_name_Hall '-P 2ybc'
_cell_length_a 8.352
_cell_length_b 7.171
_cell_length_c 6.970
_cell_angle_alpha 90.00
_cell_angle_beta 108.98
_cell_angle_gamma 90.00
loop_
_atom_site_label
_atom_site_type_symbol
_atom_site_fract_x
_atom_site_fract_y
_atom_site_fract_z
Er1 Er 0.189 0.181 0.061
Tm1 Tm 0.235 0.674 0.229
Tm2 Tm 0.500 0.000 0.500
Cu1 Cu 0.066 0.530 0.848
Cu2 Cu 0.489 0.126 0.878

# Cs2BaTl10 (PBE-GGA, optimized geometry)
# ΔH_f (0 K) = -0.022 eV per atom
data_Cs2BaTl10
_chemical_formula_sum 'Cs4 Ba2 Tl20'
_space_group_name_H-M_alt 'P b a m'
_space_group_IT_number 55
_space_group_name_Hall '-P 2 2ab'
_cell_length_a 9.697
_cell_length_b 16.891
_cell_length_c 6.926
_cell_angle_alpha 90.00
_cell_angle_beta 90.00
_cell_angle_gamma 90.00
loop_
_atom_site_label
_atom_site_type_symbol
_atom_site_fract_x
_atom_site_fract_y
_atom_site_fract_z
Cs1 Cs 0.197 0.100 0.000
Ba1 Ba 0.000 0.500 0.500
Tl1 Tl 0.041 0.167 0.500
Tl2 Tl 0.138 0.688 0.500
Tl3 Tl 0.156 0.980 0.500
Tl4 Tl 0.192 0.332 0.240

# CuTe2 (PBE-GGA, optimized geometry)
# Calculated total energy = -3.441 eV/atom
data_CuTe2
_chemical_formula_sum 'Cu4 Te8'
_space_group_name_H-M_alt 'C m c e'
_space_group_IT_number 64
_space_group_name_Hall '-C 2ac 2'
_cell_length_a 4.000
_cell_length_b 7.162
_cell_length_c 10.478
_cell_angle_alpha 90.00
_cell_angle_beta 90.00
_cell_angle_gamma 90.00
loop_
_atom_site_label
_atom_site_type_symbol
_atom_site_fract_x
_atom_site_fract_y
_atom_site_fract_z
Cu1 Cu 0.000 0.000 0.000
Te1 Te 0.000 0.193 0.368

Total magnetic moment list, top to bottom, in μB per cell: 0.0, 0.0, 0.0